1.
This record from Alexandria via LeMat-Bulk describes an optimized crystal structure of V2Zn2Cu. The functional is PBE.

Unit cell a=6.212 b=6.212 c=3.658 alpha=90.00 beta=90.00 gamma=90.00
Fractional positions:
1 V 0.159 0.341 0.000
2 V 0.341 0.841 0.000
3 V 0.659 0.159 0.000
4 V 0.841 0.659 0.000
5 Zn 0.140 0.640 0.500
6 Zn 0.360 0.140 0.500
7 Zn 0.640 0.860 0.500
8 Zn 0.860 0.360 0.500
9 Cu 0.000 0.000 0.500
10 Cu 0.500 0.500 0.500

## Properties
E_tot ... -4.6825 eV per atom
Total magnetic moment ... 0.00 μB per atom



2.
This record from Alexandria via LeMat-Bulk describes an optimized crystal structure of LaGeRu. The functional is PBE.

Unit cell a=7.868 b=7.868 c=4.218 alpha=105.52 beta=105.52 gamma=32.87
Fractional positions:
1 La 0.000 0.000 0.000
2 La 0.250 0.250 0.754
3 Ge 0.576 0.576 0.576
4 Ge 0.834 0.834 0.336
5 Ru 0.407 0.407 0.410
6 Ru 0.663 0.663 0.162

## Properties
E_tot ... -6.8262 eV per atom
Total magnetic moment ... 0.00 μB per atom



3.
This record from Alexandria via LeMat-Bulk describes an optimized crystal structure of TmCo2PH. The functional is PBE.

Unit cell a=5.272 b=5.272 c=6.591 alpha=90.00 beta=90.00 gamma=140.58
Fractional positions:
1 Tm 0.055 0.945 0.750
2 Tm 0.945 0.055 0.250
3 Co 0.335 0.665 0.558
4 Co 0.335 0.665 0.942
5 Co 0.665 0.335 0.058
6 Co 0.665 0.335 0.442
7 P 0.226 0.774 0.250
8 P 0.774 0.226 0.750
9 H 0.500 0.500 0.000
10 H 0.500 0.500 0.500

## Properties
E_tot ... -6.2679 eV per atom
Total magnetic moment ... 0.00 μB per atom



4.
This record from Alexandria via LeMat-Bulk describes an optimized crystal structure of BaRuO6. The functional is PBE.

Unit cell a=4.369 b=4.369 c=5.889 alpha=98.13 beta=98.13 gamma=91.80
Fractional positions:
1 Ba 0.000 0.000 0.000
2 Ru 0.500 0.500 0.500
3 O 0.148 0.561 0.285
4 O 0.243 0.243 0.648
5 O 0.439 0.852 0.715
6 O 0.561 0.148 0.285
7 O 0.757 0.757 0.352
8 O 0.852 0.439 0.715

## Properties
E_tot ... -5.8985 eV per atom
Formation energy without anion corrections ... -602.1 kJ/mol of formula units
Total magnetic moment ... 0.00 μB per atom



- What is the total magnetic moment in the first record?
  0.00 μB per atom



Repeat the third record exactly.
This record from Alexandria via LeMat-Bulk describes an optimized crystal structure of TmCo2PH. The functional is PBE.

Unit cell a=5.272 b=5.272 c=6.591 alpha=90.00 beta=90.00 gamma=140.58
Fractional positions:
1 Tm 0.055 0.945 0.750
2 Tm 0.945 0.055 0.250
3 Co 0.335 0.665 0.558
4 Co 0.335 0.665 0.942
5 Co 0.665 0.335 0.058
6 Co 0.665 0.335 0.442
7 P 0.226 0.774 0.250
8 P 0.774 0.226 0.750
9 H 0.500 0.500 0.000
10 H 0.500 0.500 0.500

## Properties
E_tot ... -6.2679 eV per atom
Total magnetic moment ... 0.00 μB per atom



Copy entry 1 word for word.
This record from Alexandria via LeMat-Bulk describes an optimized crystal structure of V2Zn2Cu. The functional is PBE.

Unit cell a=6.212 b=6.212 c=3.658 alpha=90.00 beta=90.00 gamma=90.00
Fractional positions:
1 V 0.159 0.341 0.000
2 V 0.341 0.841 0.000
3 V 0.659 0.159 0.000
4 V 0.841 0.659 0.000
5 Zn 0.140 0.640 0.500
6 Zn 0.360 0.140 0.500
7 Zn 0.640 0.860 0.500
8 Zn 0.860 0.360 0.500
9 Cu 0.000 0.000 0.500
10 Cu 0.500 0.500 0.500

## Properties
E_tot ... -4.6825 eV per atom
Total magnetic moment ... 0.00 μB per atom



- What is the formula in the third record?
  TmCo2PH